This record from Alexandria via LeMat-Bulk describes crystalline TmScOs2 at its relaxed geometry. The functional is PBE.

Computed properties:
Its total moment is 0.00 μB/cell. The calculation puts the formation energy at -84 kJ/mol of formula units. Its energy above the most stable polymorph in this dataset is 0.00 eV per formula unit. As for the space-group type: P4/mmm.

a = 3.2939 Å, b = 3.2939 Å, c = 6.5855 Å
α = 90.00°, β = 90.00°, γ = 90.00°
Closest atoms and distances in Å follow each position.
Fractional coordinates of all 4 atoms:
Sc1 0.5000 0.5000 0.0000  8 Os 2.80
Tm1 0.5000 0.5000 0.5000  8 Os 2.90
Os1 0.0000 0.0000 0.7634  4 Sc 2.80, 4 Tm 2.90, 1 Os 3.12
Os2 0.0000 0.0000 0.2366  4 Sc 2.80, 4 Tm 2.90, 1 Os 3.12